No. 1
Computed, not measured: an optimized crystal structure of V3NiCl at the GGA-PBE level of DFT.

## Properties
ΔE_f (raw) = 663 meV/atom
magnetic moment = 4.24 μB/f.u.

Cell lengths 4.2308, 4.2308, 4.2308 Å; angles 90.00, 90.00, 90.00 degrees
Closest atoms and distances in Å follow each position.
Fractional coordinates of all 5 atoms:
1 Cl 0.0000 0.0000 0.0000  6 V 2.12
2 Ni 0.5000 0.5000 0.5000  12 V 2.99
3 V 0.0000 0.5000 0.0000  2 Cl 2.12
4 V 0.0000 0.0000 0.5000  2 Cl 2.12
5 V 0.5000 0.0000 0.0000  2 Cl 2.12


No. 2
Computed, not measured: an optimized crystal structure of LaNd7Ho2 at the GGA-PBE level of DFT.

## Properties
magnetic moment = 0.00 μB/f.u.
formation enthalpy at 0 K = 2 kJ per mole of atoms

Cell lengths 6.3478, 9.6883, 9.6872 Å; angles 141.87, 70.79, 102.66 degrees
Closest atoms and distances in Å follow each position.
Fractional coordinates of all 10 atoms:
1 Nd 0.6028 0.0025 0.7979  3 Ho 3.60-3.66, 7 Nd 3.63-3.74, 2 La 3.68-3.69
2 Nd 0.6979 0.4977 0.5993  9 Nd 3.65-3.70, 2 La 3.65-3.68, 1 Ho 3.66
3 Nd 0.0963 0.4961 0.7988  3 Ho 3.62-3.66, 8 Nd 3.62-3.69, 1 La 3.68
4 Nd 0.5000 0.5000 0.0000  8 Nd 3.63-3.67, 4 Ho 3.65
5 Nd 0.9037 0.5039 0.2012  3 Ho 3.62-3.66, 8 Nd 3.62-3.69, 1 La 3.68
6 Nd 0.3021 0.5023 0.4007  9 Nd 3.65-3.70, 2 La 3.65-3.68, 1 Ho 3.66
7 Nd 0.3972 0.9975 0.2021  3 Ho 3.60-3.66, 7 Nd 3.63-3.74, 2 La 3.68-3.69
8 Ho 0.7979 0.9987 0.4016  9 Nd 3.60-3.66, 2 Ho 3.63-3.65, 1 La 3.68
9 Ho 0.2021 0.0013 0.5984  9 Nd 3.60-3.66, 2 Ho 3.63-3.65, 1 La 3.68
10 La 0.0000 0.0000 0.0000  10 Nd 3.65-3.69, 2 Ho 3.68


No. 3
Computed, not measured: an optimized crystal structure of PmSmNiBr at the GGA-PBE level of DFT.

## Properties
ΔE_f (raw) = -798 meV/atom
magnetic moment = 0.00 μB/f.u.

Cell lengths 4.0257, 4.0264, 8.0775 Å; angles 90.00, 104.43, 120.00 degrees
Closest atoms and distances in Å follow each position.
Fractional coordinates of all 4 atoms:
1 Sm 0.0976 0.9468 0.0597  3 Ni 2.75
2 Pm 0.5096 0.1528 0.6776  3 Ni 2.76
3 Br 0.9660 0.3809 0.3626  3 Sm 3.30, 3 Pm 3.37
4 Ni 0.3046 0.5503 0.8699  3 Sm 2.75, 3 Pm 2.76


No. 4
Computed, not measured: an optimized crystal structure of Ce2HfNi at the GGA-PBE level of DFT.

## Properties
magnetic moment = 0.00 μB/f.u.
formation enthalpy at 0 K = 23 kJ per mole of atoms

Cell lengths 3.0663, 3.0663, 10.6215 Å; angles 81.70, 81.70, 60.00 degrees
Closest atoms and distances in Å follow each position.
Fractional coordinates of all 4 atoms:
1 Hf 0.0000 0.0000 0.0000  2 Ce 2.98, 6 Hf 3.07
2 Ni 0.5000 0.5000 0.5000  6 Ce 2.87, 6 Ni 3.07
3 Ce 0.9051 0.9051 0.2847  3 Ni 2.87, 1 Hf 2.98, 6 Ce 3.07
4 Ce 0.0949 0.0949 0.7153  3 Ni 2.87, 1 Hf 2.98, 6 Ce 3.07


No. 5
Computed, not measured: an optimized crystal structure of TeIrPd2 at the GGA-PBE level of DFT.

## Properties
ΔE_f (raw) = 155 meV/atom
magnetic moment = 0.00 μB/f.u.

Cell lengths 3.8677, 3.8677, 9.9854 Å; angles 78.83, 78.83, 90.00 degrees
Closest atoms and distances in Å follow each position.
Fractional coordinates of all 8 atoms:
1 Te 0.2500 0.7500 0.5000  4 Ir 2.73, 4 Pd 2.77
2 Te 0.5000 0.5000 0.0000  4 Ir 2.73, 4 Pd 2.77
3 Ir 0.7500 0.2500 0.5000  4 Te 2.73, 4 Pd 2.75
4 Ir 0.0000 0.0000 0.0000  4 Te 2.73, 4 Pd 2.75
5 Pd 0.3750 0.3680 0.7500  4 Pd 2.70-2.77, 2 Ir 2.75, 2 Te 2.77
6 Pd 0.1180 0.6250 0.2500  4 Pd 2.70-2.77, 2 Ir 2.75, 2 Te 2.77
7 Pd 0.8750 0.8820 0.7500  4 Pd 2.70-2.77, 2 Ir 2.75, 2 Te 2.77
8 Pd 0.6320 0.1250 0.2500  4 Pd 2.70-2.77, 2 Ir 2.75, 2 Te 2.77


No. 6
Computed, not measured: an optimized crystal structure of ZrReW2 at the GGA-PBE level of DFT.

## Properties
magnetic moment = 0.00 μB/f.u.
formation enthalpy at 0 K = 5 kJ per mole of atoms

Cell lengths 3.2056, 3.2056, 6.6751 Å; angles 90.00, 90.00, 90.00 degrees
Closest atoms and distances in Å follow each position.
Fractional coordinates of all 4 atoms:
1 W 0.0000 0.0000 0.5188  4 Re 2.74, 4 Zr 2.89
2 W 0.0000 0.0000 0.9812  4 Re 2.74, 4 Zr 2.89
3 Zr 0.5000 0.5000 0.2500  8 W 2.89, 4 Zr 3.21
4 Re 0.5000 0.5000 0.7500  8 W 2.74